(1)
Crystalline LiAg6Sn at its relaxed geometry, computed with PBE-GGA.

Calculated values
Energy relative to the lowest polymorph listed for this composition (meV/atom): 0.0
Formation enthalpy at 0 K (eV/atom): -0.069
Calculated total energy (eV/atom): -2.947
Space-group type: Cmmm (65)
DOS at the Fermi energy (states/eV/cell): 1.1

a = 4.446 Å, b = 5.728 Å, c = 5.728 Å
α = 89.60°, β = 90.00°, γ = 90.00°
Positions (direct):
Li (0.500, 0.500, 0.500)
Ag (0.500, 0.000, 0.500)
Ag (0.500, 0.500, 0.000)
Ag (0.000, 0.744, 0.256)
Sn (0.500, 0.000, 0.000)
Ag (0.000, 0.747, 0.747)
Ag (0.000, 0.256, 0.744)
Ag (0.000, 0.253, 0.253)



(2)
Crystalline Li3Ag7Sn2 at its relaxed geometry, computed with PBE-GGA.

Calculated values
Energy relative to the lowest polymorph listed for this composition (meV/atom): 0.0
Formation enthalpy at 0 K (eV/atom): -0.187
Calculated total energy (eV/atom): -2.996
Space-group type: P-1 (2)
DOS at the Fermi energy (states/eV/cell): 2.8

a = 4.748 Å, b = 4.748 Å, c = 10.233 Å
α = 104.01°, β = 76.05°, γ = 92.32°
Positions (direct):
Li (0.835, 0.165, 0.329)
Ag (0.750, 0.752, 0.500)
Li (0.500, 0.500, 0.000)
Ag (0.250, 0.248, 0.500)
Li (0.165, 0.835, 0.671)
Ag (0.081, 0.419, 0.840)
Ag (0.420, 0.079, 0.160)
Ag (0.580, 0.921, 0.840)
Ag (0.919, 0.581, 0.160)
Sn (0.664, 0.338, 0.673)
Ag (0.000, 0.000, 0.000)
Sn (0.336, 0.662, 0.327)



(3)
Crystalline Li2AgSn2 at its relaxed geometry, computed with PBE-GGA.

Calculated values
Formation enthalpy at 0 K (eV/atom): -0.310
Calculated total energy (eV/atom): -3.247
Space-group type: I4_1/amd (141)
DOS at the Fermi energy (states/eV/cell): 2.6

a = 4.634 Å, b = 4.634 Å, c = 10.539 Å
α = 102.67°, β = 102.67°, γ = 90.00°
Positions (direct):
Sn (0.547, 0.297, 0.594)
Li (0.049, 0.799, 0.598)
Ag (0.875, 0.625, 0.250)
Sn (0.797, 0.047, 0.094)
Li (0.299, 0.549, 0.098)
Li (0.701, 0.451, 0.902)
Li (0.951, 0.201, 0.402)
Sn (0.203, 0.953, 0.906)
Ag (0.125, 0.375, 0.750)
Sn (0.453, 0.703, 0.406)



(4)
Crystalline Li4Ag2Sn at its relaxed geometry, computed with PBE-GGA.

Calculated values
Energy relative to the lowest polymorph listed for this composition (meV/atom): 362.4
Formation enthalpy at 0 K (eV/atom): 0.119
Calculated total energy (eV/atom): -2.361
Space-group type: I4/mmm (139)
DOS at the Fermi energy (states/eV/cell): 3.5

a = 4.987 Å, b = 4.987 Å, c = 7.623 Å
α = 70.91°, β = 70.91°, γ = 90.00°
Positions (direct):
Li (0.500, 0.000, 0.000)
Ag (0.603, 0.603, 0.794)
Sn (0.000, 0.000, 0.000)
Ag (0.397, 0.397, 0.206)
Li (0.801, 0.801, 0.399)
Li (0.000, 0.500, 0.000)
Li (0.199, 0.199, 0.601)